(1)
Li3NdBi2, optimized geometry, DFT PBE-GGA; N(E_F) = 0.127 states/eV/atom; calculated total energy = -3.6603 eV/atom; size of the total moment = 0.0 μB per formula unit; symmetry = C2/m (12)
1.0
-0.0192 1.5927 4.2131
-7.4427 3.8237 -3.8870
-4.3109 -9.5013 3.5722
Li Nd Bi
9 3 6
direct
0.6811 0.3622 0.9870 Li
0.6193 0.2387 0.2258 Li
0.2084 0.4168 0.4033 Li
0.9508 0.9017 0.6599 Li
0.3189 0.6378 0.0130 Li
0.5000 0.0000 0.5000 Li
0.3807 0.7613 0.7742 Li
0.0492 0.0983 0.3401 Li
0.7916 0.5832 0.5967 Li
0.8291 0.6582 0.2801 Nd
0.1709 0.3418 0.7199 Nd
0.0000 0.0000 0.0000 Nd
0.4539 0.9079 0.1968 Bi
0.6440 0.2881 0.4911 Bi
0.1911 0.3822 0.1431 Bi
0.8089 0.6178 0.8569 Bi
0.3560 0.7119 0.5089 Bi
0.5461 0.0921 0.8032 Bi

***

(2)
CuSn2S3, optimized geometry, DFT PBE-GGA; N(E_F) = 0.731 states/eV/atom; calculated total energy = -4.3723 eV/atom; size of the total moment = 0.0 μB per formula unit; symmetry = Imm2 (44)
1.0
3.9451 0.0000 0.0000
0.0000 4.5123 0.0000
-1.9726 -2.2561 8.1239
Sn S Cu
2 3 1
direct
0.1537 0.9658 0.3075 Sn
0.8463 0.6583 0.6925 Sn
0.3667 0.2985 0.7335 S
0.6333 0.5651 0.2665 S
0.0000 0.0010 0.0000 S
0.5000 0.2542 0.0000 Cu

***

(3)
LiTeI2, optimized geometry, DFT PBE-GGA; N(E_F) = 1.148 states/eV/atom; calculated total energy = -2.2486 eV/atom; size of the total moment = 0.0 μB per formula unit; symmetry = I-42d (122)
1.0
-4.8634 -5.3332 -3.8465
6.0918 -5.4554 -0.1383
-0.5764 -6.8118 1.4783
I Li Te
4 2 2
direct
0.5837 0.1250 0.2500 I
0.8750 0.8337 0.7500 I
0.1663 0.6250 0.2500 I
0.3750 0.4163 0.7500 I
0.2500 0.7500 0.5000 Li
0.5000 0.5000 0.0000 Li
0.0000 0.0000 0.0000 Te
0.7500 0.2500 0.5000 Te

***

(4)
Y6TmSc, optimized geometry, DFT PBE-GGA; N(E_F) = 2.108 states/eV/atom; calculated total energy = -6.1850 eV/atom; size of the total moment = 0.0 μB per formula unit; symmetry = P-6m2 (187)
1.0
-3.5950 -0.4940 -4.2579
4.5404 -4.4870 -3.3130
-4.9742 -2.5933 4.5007
Y Tm Sc
6 1 1
direct
0.0000 0.0877 0.4189 Y
0.5000 0.9180 0.5860 Y
0.0000 0.5811 0.4189 Y
0.5000 0.9180 0.0820 Y
0.5000 0.4140 0.0820 Y
0.0000 0.5811 0.9123 Y
0.0000 0.0833 0.9167 Tm
0.5000 0.4166 0.5834 Sc

***

(5)
KCeNb2O8, optimized geometry, DFT PBE-GGA; N(E_F) = 0.678 states/eV/atom; calculated total energy = -7.9506 eV/atom; size of the total moment = 1.1 μB per formula unit; symmetry = I-4m2 (119)
1.0
-5.1293 -3.8552 -0.1306
4.3375 -1.2018 4.5750
-2.2291 5.9066 1.1539
O K Ce Nb
8 1 1 2
direct
0.8671 0.6937 0.1733 O
0.9036 0.2001 0.2965 O
0.9036 0.6071 0.7035 O
0.3929 0.0964 0.2965 O
0.3063 0.4796 0.1733 O
0.7999 0.0964 0.7035 O
0.5204 0.6937 0.8267 O
0.3063 0.1329 0.8267 O
0.2500 0.7500 0.5000 K
0.0000 0.0000 0.0000 Ce
0.5000 0.5000 0.0000 Nb
0.7500 0.2500 0.5000 Nb

***

(6)
MnWSe3, optimized geometry, DFT PBE-GGA; N(E_F) = 0.500 states/eV/atom; calculated total energy = -6.0257 eV/atom; size of the total moment = 5.5 μB per formula unit; symmetry = Pm-3m (221)
1.0
-3.5558 3.4554 -0.1460
-1.7207 -1.9492 -4.2243
-3.0000 -2.9776 2.5959
W Se Mn
1 3 1
direct
0.0000 0.0000 0.0000 W
0.5000 0.0000 0.0000 Se
0.0000 0.0000 0.5000 Se
0.0000 0.5000 0.0000 Se
0.5000 0.5000 0.5000 Mn

***

(7)
Ga2Fe3Rh7, optimized geometry, DFT PBE-GGA; N(E_F) = 0.917 states/eV/atom; calculated total energy = -6.9519 eV/atom; size of the total moment = 11.6 μB per formula unit; symmetry = Cmmm (65)
1.0
-3.3522 1.2132 1.4713
1.0711 -1.4167 3.6084
4.3317 11.0058 0.7940
Rh Fe Ga
7 3 2
direct
0.5000 0.9204 0.8409 Rh
0.0000 0.4217 0.8434 Rh
0.5000 0.0796 0.1591 Rh
0.0000 0.0000 0.0000 Rh
0.0000 0.2827 0.5653 Rh
0.0000 0.5783 0.1566 Rh
0.0000 0.7173 0.4347 Rh
0.5000 0.5000 0.0000 Fe
0.5000 0.6531 0.3062 Fe
0.5000 0.3469 0.6938 Fe
0.0000 0.8465 0.6931 Ga
0.0000 0.1535 0.3069 Ga

***

(8)
YMgSi2Pt2, optimized geometry, DFT PBE-GGA; N(E_F) = 0.390 states/eV/atom; calculated total energy = -6.1253 eV/atom; size of the total moment = 0.0 μB per formula unit; symmetry = P-3m1 (164)
1.0
-2.6253 -1.8444 2.7814
3.3211 -2.1548 -1.5354
3.8399 2.2653 5.1266
Si Pt Y Mg
2 2 1 1
direct
0.3333 0.6667 0.7104 Si
0.6667 0.3333 0.2896 Si
0.3333 0.6667 0.2953 Pt
0.6667 0.3333 0.7047 Pt
0.0000 0.0000 0.0000 Y
0.0000 0.0000 0.5000 Mg

***

(9)
NaTlN2, optimized geometry, DFT PBE-GGA; N(E_F) = 0.533 states/eV/atom; calculated total energy = -5.0644 eV/atom; size of the total moment = 0.0 μB per formula unit; symmetry = P-1 (2)
1.0
-2.9197 -4.4070 -2.3393
2.1906 -0.6296 -2.5520
2.7770 -7.5322 5.3444
N Na Tl
4 2 2
direct
0.7473 0.8000 0.9912 N
0.2527 0.2000 0.0088 N
0.1127 0.2526 0.1164 N
0.8873 0.7474 0.8836 N
0.6590 0.3766 0.2007 Na
0.3410 0.6234 0.7993 Na
0.0000 0.5000 0.5000 Tl
0.5000 0.0000 0.5000 Tl

***

(10)
PmNd5Pt5, optimized geometry, DFT PBE-GGA; N(E_F) = 0.664 states/eV/atom; calculated total energy = -6.3167 eV/atom; size of the total moment = 0.0 μB per formula unit; symmetry = C2/m (12)
1.0
5.8985 0.0000 0.0000
-2.9493 6.6239 -0.0796
0.0000 -2.5702 7.9945
Nd Pt Pm
5 5 1
direct
0.3274 0.6548 0.1568 Nd
0.3276 0.6552 0.6704 Nd
0.6726 0.3452 0.8432 Nd
0.6724 0.3448 0.3296 Nd
0.0000 0.0000 0.5000 Nd
0.8349 0.6698 0.6642 Pt
0.8375 0.6750 0.1717 Pt
0.1625 0.3250 0.8283 Pt
0.1651 0.3302 0.3358 Pt
0.5000 0.0000 0.0000 Pt
0.0000 0.0000 0.0000 Pm

***

(11)
LiAgF4, optimized geometry, DFT PBE-GGA; calculated total energy = -3.7126 eV/atom; size of the total moment = 0.0 μB per formula unit; symmetry = P2_1/c (14)
1.0
8.5726 0.0000 0.0000
0.0000 5.9565 0.1061
0.0000 4.1796 7.1457
F Li Ag
16 4 4
direct
0.6764 0.7097 0.9920 F
0.9856 0.2740 0.7947 F
0.3148 0.7990 0.0508 F
0.1852 0.7990 0.5508 F
0.5326 0.7958 0.3232 F
0.6852 0.2010 0.9492 F
0.1764 0.2903 0.5080 F
0.5144 0.2740 0.2947 F
0.9674 0.7958 0.8232 F
0.4856 0.7260 0.7053 F
0.8236 0.7097 0.4920 F
0.3236 0.2903 0.0080 F
0.0144 0.7260 0.2053 F
0.4674 0.2042 0.6768 F
0.8148 0.2010 0.4492 F
0.0326 0.2042 0.1768 F
0.5147 0.6486 0.1685 Li
0.0147 0.3514 0.3315 Li
0.9853 0.6486 0.6685 Li
0.4853 0.3514 0.8315 Li
0.8250 0.9993 0.8835 Ag
0.3250 0.0007 0.6165 Ag
0.1750 0.0007 0.1165 Ag
0.6750 0.9993 0.3835 Ag

***

(12)
AcMgBi2, optimized geometry, DFT PBE-GGA; N(E_F) = 0.642 states/eV/atom; calculated total energy = -3.6228 eV/atom; size of the total moment = 0.0 μB per formula unit; symmetry = R-3m (166)
1.0
-0.5274 2.1620 3.1359
-3.4205 1.6282 0.6598
-4.2110 -6.9024 6.4081
Bi Mg Ac
2 1 1
direct
0.7383 0.7383 0.7850 Bi
0.2617 0.2617 0.2150 Bi
0.0000 0.0000 0.0000 Mg
0.5000 0.5000 0.5000 Ac

***

(13)
Na2PrPaS4, optimized geometry, DFT PBE-GGA; N(E_F) = 0.786 states/eV/atom; calculated total energy = -5.7719 eV/atom; size of the total moment = 1.9 μB per formula unit; symmetry = P2/m (10)
1.0
4.0266 0.0000 0.0000
0.0000 7.0399 0.1384
0.0000 -2.4430 6.7273
Pa Na S Pr
1 2 4 1
direct
0.5000 0.5000 0.0000 Pa
0.0000 0.5000 0.5000 Na
0.5000 0.0000 0.5000 Na
0.5000 0.7410 0.7627 S
0.0000 0.2659 0.7666 S
0.5000 0.2590 0.2373 S
0.0000 0.7341 0.2334 S
0.0000 0.0000 0.0000 Pr

***

(14)
PPt3Cl, optimized geometry, DFT PBE-GGA; N(E_F) = 0.623 states/eV/atom; calculated total energy = -4.6929 eV/atom; size of the total moment = 0.0 μB per formula unit; symmetry = Pm-3m (221)
1.0
-2.3157 -1.4160 3.6668
-1.6601 -3.5053 -2.4020
3.5630 -2.5536 1.2640
Pt P Cl
3 1 1
direct
0.5000 0.0000 0.0000 Pt
0.0000 0.5000 0.0000 Pt
0.0000 0.0000 0.5000 Pt
0.0000 0.0000 0.0000 P
0.5000 0.5000 0.5000 Cl

***

(15)
LiCr2Os, optimized geometry, DFT PBE-GGA; N(E_F) = 0.886 states/eV/atom; calculated total energy = -7.7094 eV/atom; size of the total moment = 0.0 μB per formula unit; symmetry = R-3m (166)
1.0
-0.5193 -1.2171 -9.0738
-2.8102 -2.3286 -8.4122
-2.6654 0.2739 -8.7696
Li Os Cr
1 1 2
direct
0.7500 0.7500 0.7500 Li
0.2500 0.2500 0.2500 Os
0.9954 0.9954 0.9954 Cr
0.5046 0.5046 0.5046 Cr

***

(16)
PuH2O6, optimized geometry, DFT PBE-GGA; N(E_F) = 0.347 states/eV/atom; calculated total energy = -6.7865 eV/atom; size of the total moment = 0.0 μB per formula unit; symmetry = C2/m (12)
1.0
-2.0762 -4.7630 5.9258
1.0039 -3.6790 6.8971
-2.1909 0.6929 6.1743
O H Pu
6 2 1
direct
0.6136 0.6136 0.3558 O
0.9420 0.9420 0.8609 O
0.2257 0.2257 0.5186 O
0.7743 0.7743 0.4814 O
0.3864 0.3864 0.6442 O
0.0580 0.0580 0.1391 O
0.8329 0.8329 0.2577 H
0.1671 0.1671 0.7423 H
0.0000 0.0000 0.5000 Pu

***

(17)
Rb2Br2Cl, optimized geometry, DFT PBE-GGA; N(E_F) = 0.520 states/eV/atom; calculated total energy = -2.7063 eV/atom; size of the total moment = 0.0 μB per formula unit; symmetry = I4/mmm (139)
1.0
-4.5621 0.3781 0.0558
-0.3190 -4.1346 1.9397
-2.0283 1.8981 9.1151
Rb Br Cl
2 2 1
direct
0.6050 0.6050 0.7901 Rb
0.3950 0.3950 0.2099 Rb
0.7500 0.2500 0.5000 Br
0.2500 0.7500 0.5000 Br
0.0000 0.0000 0.0000 Cl

***

(18)
ScInTe5Pb2, optimized geometry, DFT PBE-GGA; calculated total energy = -4.1457 eV/atom; size of the total moment = 0.0 μB per formula unit; symmetry = Cmc2_1 (36)
1.0
4.3385 0.0000 0.0000
-2.1693 9.8536 0.0000
0.0000 0.0000 14.2329
Pb Sc Te In
4 2 10 2
direct
0.8735 0.7471 0.8189 Pb
0.1265 0.2529 0.3189 Pb
0.8627 0.7255 0.1663 Pb
0.1373 0.2745 0.6663 Pb
0.1998 0.3995 0.0253 Sc
0.8002 0.6005 0.5253 Sc
0.5160 0.0320 0.2644 Te
0.7056 0.4112 0.1698 Te
0.3040 0.6081 0.3804 Te
0.0457 0.0913 0.0560 Te
0.4840 0.9680 0.7644 Te
0.6516 0.3032 0.5120 Te
0.2944 0.5888 0.6698 Te
0.3484 0.6968 0.0120 Te
0.6960 0.3919 0.8804 Te
0.9543 0.9087 0.5560 Te
0.5561 0.1122 0.9308 In
0.4439 0.8878 0.4308 In

***

(19)
Pm2ZnB3Pt12, optimized geometry, DFT PBE-GGA; N(E_F) = 0.369 states/eV/atom; calculated total energy = -6.1825 eV/atom; size of the total moment = 0.0 μB per formula unit; symmetry = R-3m (166)
1.0
-7.3736 -0.0057 -0.0328
-3.0438 -1.7601 -6.4814
-3.0678 -6.7010 -0.2367
Pt B Zn Pm
12 3 1 2
direct
0.0891 0.6743 0.6743 Pt
0.6743 0.0891 0.6743 Pt
0.3257 0.9109 0.3257 Pt
0.8767 0.8767 0.3811 Pt
0.8767 0.3811 0.8767 Pt
0.1233 0.6189 0.1233 Pt
0.1233 0.1233 0.6189 Pt
0.6189 0.1233 0.1233 Pt
0.9109 0.3257 0.3257 Pt
0.6743 0.6743 0.0891 Pt
0.3257 0.3257 0.9109 Pt
0.3811 0.8767 0.8767 Pt
0.0000 0.5000 0.0000 B
0.5000 0.0000 0.0000 B
0.0000 0.0000 0.5000 B
0.0000 0.0000 0.0000 Zn
0.6063 0.6063 0.6063 Pm
0.3937 0.3937 0.3937 Pm

***

(20)
LaHgP2, optimized geometry, DFT PBE-GGA; N(E_F) = 0.653 states/eV/atom; calculated total energy = -4.4172 eV/atom; size of the total moment = 0.0 μB per formula unit; symmetry = P4mm (99)
1.0
-0.4556 0.2201 -4.1020
-4.1017 -0.2518 0.4421
-0.3194 5.8118 0.3473
P La Hg
2 1 1
direct
0.0000 0.0000 0.9040 P
0.5000 0.5000 0.3549 P
0.5000 0.5000 0.8449 La
0.0000 0.0000 0.3962 Hg